Record 1
ReAs after structural relaxation. Source: the Alexandria database, functional GGA-PBE.

Structure (CIF):
```
data_ReAs
_cell_length_a 7.604
_cell_length_b 7.604
_cell_length_c 7.604
_cell_angle_alpha 90.00
_cell_angle_beta 90.00
_cell_angle_gamma 90.00
_symmetry_space_group_name_H-M 'I -4 3 m'
_symmetry_Int_Tables_number 217
_symmetry_space_group_name_Hall 'I -4 2 3'
loop_
_atom_site_label
_atom_site_fract_x
_atom_site_fract_y
_atom_site_fract_z
Re1 0.126 0.126 0.874
As1 0.187 0.187 0.187
```

Properties
Polymorph energy (0 for the lowest one)   0.5122 eV per atom
Calculated total energy   -7.96 eV per atom
M_tot   0.000 μB/atom
Energy of formation   0.587 eV/atom



Record 2
K3La2TbS6 after structural relaxation. Source: the Alexandria database, functional GGA-PBE.

Structure (CIF):
```
data_K3La2TbS6
_cell_length_a 7.310
_cell_length_b 12.661
_cell_length_c 7.767
_cell_angle_alpha 90.00
_cell_angle_beta 108.31
_cell_angle_gamma 90.00
_symmetry_space_group_name_H-M 'C 1 2/m 1'
_symmetry_Int_Tables_number 12
loop_
_symmetry_equiv_pos_as_xyz
'x,y,z'
'-x,-y,-z'
'-x,y,-z'
'x,-y,z'
'x+1/2,y+1/2,z'
'-x+1/2,-y+1/2,-z'
'-x+1/2,y+1/2,-z'
'x+1/2,-y+1/2,z'
loop_
_atom_site_label
_atom_site_fract_x
_atom_site_fract_y
_atom_site_fract_z
K1 0.000 0.000 0.000
K2 0.000 0.333 0.000
La1 0.000 0.167 0.500
Tb1 0.000 0.500 0.500
S1 0.230 0.339 0.706
S2 0.246 0.000 0.705
```

Properties
Calculated total energy   -5.45 eV per atom
M_tot   0.000 μB/atom
Formation energy (no corrections)   -1.906 eV per atom



Record 3
BaZr4Hg after structural relaxation. Source: the Alexandria database, functional GGA-PBE.

Structure (CIF):
```
data_BaZr4Hg
_cell_length_a 8.598
_cell_length_b 8.598
_cell_length_c 8.598
_cell_angle_alpha 90.00
_cell_angle_beta 90.00
_cell_angle_gamma 90.00
_symmetry_space_group_name_H-M 'F -4 3 m'
_symmetry_Int_Tables_number 216
_symmetry_space_group_name_Hall 'F -4 2 3'
loop_
_atom_site_label
_atom_site_fract_x
_atom_site_fract_y
_atom_site_fract_z
Ba1 0.000 0.000 0.000
Zr1 0.125 0.125 0.375
Hg1 0.250 0.250 0.750
```

Properties
Calculated total energy   -5.61 eV per atom
M_tot   0.000 μB/atom
Energy of formation   0.459 eV/atom



Record 4
Y4SnHgC after structural relaxation. Source: the Alexandria database, functional GGA-PBE.

Structure (CIF):
```
data_Y4SnHgC
_cell_length_a 6.926
_cell_length_b 15.224
_cell_length_c 6.909
_cell_angle_alpha 90.00
_cell_angle_beta 90.00
_cell_angle_gamma 90.00
_symmetry_space_group_name_H-M 'C m c m'
_symmetry_Int_Tables_number 63
_symmetry_space_group_name_Hall '-C 2c 2'
loop_
_atom_site_label
_atom_site_fract_x
_atom_site_fract_y
_atom_site_fract_z
Y1 0.000 0.083 0.250
Y2 0.000 0.412 0.250
Y3 0.250 0.250 0.000
Sn1 0.000 0.384 0.750
Hg1 0.000 0.116 0.750
C1 0.000 0.249 0.250
```

Properties
Calculated total energy   -6.14 eV per atom
M_tot   0.000 μB/atom
Energy of formation   -0.518 eV/atom



Record 5
AcNbN3 after structural relaxation. Source: the Alexandria database, functional GGA-PBE.

Structure (CIF):
```
data_AcNbN3
_cell_length_a 10.256
_cell_length_b 11.396
_cell_length_c 6.416
_cell_angle_alpha 90.00
_cell_angle_beta 102.18
_cell_angle_gamma 90.00
_symmetry_space_group_name_H-M 'C 1 2/c 1'
_symmetry_Int_Tables_number 15
loop_
_symmetry_equiv_pos_as_xyz
'x,y,z'
'-x,-y,-z'
'-x,y,-z+1/2'
'x,-y,z+1/2'
'x+1/2,y+1/2,z'
'-x+1/2,-y+1/2,-z'
'-x+1/2,y+1/2,-z+1/2'
'x+1/2,-y+1/2,z+1/2'
loop_
_atom_site_label
_atom_site_fract_x
_atom_site_fract_y
_atom_site_fract_z
Ac1 0.000 0.093 0.250
Ac2 0.000 0.296 0.750
Nb1 0.196 0.417 0.303
N1 0.116 0.105 0.642
N2 0.118 0.278 0.151
N3 0.159 0.450 0.598
```

Properties
Calculated total energy   -8.61 eV per atom
M_tot   0.197 μB/atom
Formation energy (no corrections)   -0.776 eV per atom



Record 6
CeDy2MnN4 after structural relaxation. Source: the Alexandria database, functional GGA-PBE.

Structure (CIF):
```
data_CeDy2MnN4
_cell_length_a 3.391
_cell_length_b 11.352
_cell_length_c 11.505
_cell_angle_alpha 90.00
_cell_angle_beta 90.00
_cell_angle_gamma 90.00
_symmetry_space_group_name_H-M 'C m c m'
_symmetry_Int_Tables_number 63
_symmetry_space_group_name_Hall '-C 2c 2'
loop_
_atom_site_label
_atom_site_fract_x
_atom_site_fract_y
_atom_site_fract_z
Ce1 0.000 0.103 0.250
Dy1 0.000 0.368 0.046
Mn1 0.000 0.159 0.750
N1 0.000 0.000 0.000
N2 0.000 0.269 0.632
N3 0.000 0.425 0.250
```

Properties
Calculated total energy   -8.41 eV per atom
M_tot   0.033 μB/atom
Formation energy (no corrections)   -1.207 eV per atom



Number 3 is which compound?
BaZr4Hg